The following is a GGA-PBE calculation of crystalline KBeInI4 at its relaxed geometry, from the Alexandria database.

Summary:
VASP energy = -2.759 eV/atom
Formation energy (no corrections) = -0.792 eV per atom

Unit cell a=7.7097 b=7.9045 c=9.8033 alpha=90.00 beta=107.89 gamma=90.00
With the nearest neighbours (Å) after each atom.
Sites, in units of the cell vectors:
K1 0.2223 0.2500 0.0470  6 I 3.49-3.75
K2 0.7777 0.7500 0.9530  6 I 3.49-3.75
Be1 0.2113 0.7500 0.7894  4 I 2.41-2.45
Be2 0.7887 0.2500 0.2106  4 I 2.41-2.45
In1 0.2564 0.2500 0.5630  5 I 3.51-3.70
In2 0.7436 0.7500 0.4370  5 I 3.51-3.70
I1 0.0058 0.5062 0.7272  1 Be 2.45
I2 0.0058 0.9938 0.7272  1 Be 2.45
I3 0.3634 0.7500 0.0445  1 Be 2.41
I4 0.4084 0.7500 0.6386  1 Be 2.42
I5 0.5916 0.2500 0.3614  1 Be 2.42
I6 0.6366 0.2500 0.9555  1 Be 2.41
I7 0.9942 0.0062 0.2728  1 Be 2.45
I8 0.9942 0.4938 0.2728  1 Be 2.45